(1)
Computed, not measured: KLiZrH2 after structural relaxation at the PBE level of DFT.

Unit cell a=4.485 b=4.485 c=6.249 alpha=90.00 beta=90.00 gamma=90.00
Positions (direct):
K 0.000 0.000 0.000
Li 0.500 0.500 0.500
Zr 0.000 0.000 0.500
H 0.000 0.500 0.000
H 0.500 0.000 0.000

Values from the calculation:
As for the space group: P4/mmm. The energy comes out at -2.297 eV per atom.

(2)
Computed, not measured: KLu2H after structural relaxation at the PBE level of DFT.

Unit cell a=10.200 b=10.200 c=10.200 alpha=20.03 beta=20.03 gamma=20.03
Positions (direct):
K 0.000 0.000 0.000
Lu 0.124 0.124 0.124
Lu 0.876 0.876 0.876
H 0.500 0.500 0.500

Values from the calculation:
As for the space group: R-3m. The energy comes out at -3.267 eV per atom.

(3)
Computed, not measured: K4MgH6 after structural relaxation at the PBE level of DFT.

Unit cell a=7.414 b=7.414 c=7.729 alpha=90.00 beta=90.00 gamma=90.00
Positions (direct):
K 0.174 0.326 0.250
K 0.174 0.326 0.750
K 0.326 0.826 0.250
K 0.326 0.826 0.750
K 0.674 0.174 0.250
K 0.674 0.174 0.750
K 0.826 0.674 0.250
K 0.826 0.674 0.750
Mg 0.000 0.000 0.000
Mg 0.500 0.500 0.500
H 0.000 0.000 0.252
H 0.000 0.000 0.748
H 0.082 0.730 0.000
H 0.230 0.582 0.500
H 0.270 0.082 0.000
H 0.418 0.230 0.500
H 0.500 0.500 0.248
H 0.500 0.500 0.752
H 0.582 0.770 0.500
H 0.730 0.918 0.000
H 0.770 0.418 0.500
H 0.918 0.270 0.000

Values from the calculation:
As for the space group: P4/mnc. The energy comes out at -2.570 eV per atom.

(4)
Computed, not measured: KMgH2 after structural relaxation at the PBE level of DFT.

Unit cell a=6.783 b=6.783 c=6.783 alpha=134.21 beta=134.21 gamma=66.76
Positions (direct):
K 0.000 0.000 0.000
K 0.750 0.250 0.500
Mg 0.250 0.750 0.500
Mg 0.500 0.500 0.000
H 0.320 0.625 0.195
H 0.375 0.570 0.695
H 0.430 0.125 0.805
H 0.875 0.680 0.305

Values from the calculation:
The energy above the most stable polymorph in this dataset is 0.00 eV per formula unit. As for the space group: I-42d.

(5)
Computed, not measured: K3Mg2H7 after structural relaxation at the PBE level of DFT.

Unit cell a=11.097 b=11.097 c=11.097 alpha=159.21 beta=159.21 gamma=29.56
Positions (direct):
K 0.000 0.000 0.000
K 0.184 0.184 0.000
K 0.816 0.816 0.000
Mg 0.406 0.406 0.000
Mg 0.594 0.594 0.000
H 0.093 0.593 0.500
H 0.313 0.313 0.000
H 0.407 0.907 0.500
H 0.500 0.500 0.000
H 0.593 0.093 0.500
H 0.687 0.687 0.000
H 0.907 0.407 0.500

Values from the calculation:
The energy above the most stable polymorph in this dataset is 0.00 eV per formula unit. As for the space group: I4/mmm.

(6)
Computed, not measured: KMgH after structural relaxation at the PBE level of DFT.

Unit cell a=3.791 b=3.791 c=11.251 alpha=90.47 beta=90.47 gamma=90.00
Positions (direct):
K 0.243 0.243 0.199
K 0.757 0.757 0.801
Mg 0.252 0.252 0.563
Mg 0.748 0.748 0.437
H 0.256 0.256 0.730
H 0.744 0.744 0.270

Values from the calculation:
As for the space group: C2/m. The energy comes out at -2.080 eV per atom.